(1)
13
Lattice="7.956 -4.401 0.000 7.956 4.401 0.000 -2.358 0.000 6.862" Properties=species:S:1:pos:R:3 comment="Ac8Ru2Au3 PBE relaxed" magmom_total_mub_per_fu=0.0 final_energy_ev_per_atom=-5.1464 space_group="No. 12" formation_enthalpy_0k_ev_per_atom=-0.435 dos_ef_per_ev_fu=10.603 pbc="T T T"
Ac 5.184 2.165 1.610
Ac 1.591 0.000 1.617
Ac 4.020 0.000 5.173
Ac 8.369 2.165 5.252
Ac 5.184 -2.165 1.610
Ac 9.533 0.000 1.689
Ac 11.962 0.000 5.245
Ac 8.369 -2.165 5.252
Ru 1.594 0.000 6.841
Ru 11.959 0.000 0.021
Au 7.956 2.204 0.000
Au 6.777 0.000 3.431
Au 7.956 -2.204 0.000

(2)
16
Lattice="4.104 0.000 0.000 0.000 4.104 0.000 0.000 0.000 16.319" Properties=species:S:1:pos:R:3 comment="Ho3SnPd12 PBE relaxed" magmom_total_mub_per_fu=0.0 final_energy_ev_per_atom=-5.7971 space_group="No. 123" formation_enthalpy_0k_ev_per_atom=-0.794 dos_ef_per_ev_fu=9.154 pbc="T T T"
Ho 0.000 0.000 0.000
Ho 0.000 0.000 4.105
Ho 0.000 0.000 12.213
Sn 0.000 0.000 8.159
Pd 0.000 2.052 2.063
Pd 0.000 2.052 6.203
Pd 0.000 2.052 10.115
Pd 0.000 2.052 14.255
Pd 2.052 0.000 2.063
Pd 2.052 0.000 6.203
Pd 2.052 0.000 10.115
Pd 2.052 0.000 14.255
Pd 2.052 2.052 0.000
Pd 2.052 2.052 4.149
Pd 2.052 2.052 8.159
Pd 2.052 2.052 12.170

(3)
4
Lattice="1.591 0.919 8.207 -1.591 0.919 8.207 0.000 -1.837 8.207" Properties=species:S:1:pos:R:3 comment="Ag2AsP PBE relaxed" magmom_total_mub_per_fu=0.0 polymorph_energy_mev_per_atom=149 final_energy_ev_per_atom=-3.6030 space_group="No. 166" formation_enthalpy_0k_ev_per_atom=0.338 dos_ef_per_ev_fu=1.673 pbc="T T T"
Ag 0.000 0.000 6.051
Ag 0.000 0.000 18.572
As 0.000 0.000 0.000
P 0.000 0.000 12.311

(4)
5
Lattice="1.955 -7.231 0.000 1.955 7.231 0.000 0.000 0.000 3.964" Properties=species:S:1:pos:R:3 comment="Th2CdFe2 PBE relaxed" magmom_total_mub_per_fu=2.5 final_energy_ev_per_atom=-6.6421 space_group="No. 65" formation_enthalpy_0k_ev_per_atom=-0.106 dos_ef_per_ev_fu=5.051 pbc="T T T"
Th 1.955 5.224 0.000
Th 1.955 -5.224 0.000
Cd 1.955 0.000 1.982
Fe 1.955 2.976 1.982
Fe 1.955 -2.976 1.982

(5)
10
Lattice="6.513 0.000 0.000 0.000 8.508 0.000 -1.532 0.000 6.540" Properties=species:S:1:pos:R:3 comment="LaPmPr2Th PBE relaxed" magmom_total_mub_per_fu=0.0 final_energy_ev_per_atom=-5.1070 space_group="No. 13" formation_enthalpy_0k_ev_per_atom=0.224 dos_ef_per_ev_fu=8.975 pbc="T T T"
La -0.383 0.820 1.635
La -1.149 7.688 4.905
Pm 2.874 2.897 1.635
Pm 2.108 5.611 4.905
Pr 0.400 2.786 4.346
Pr 1.165 5.722 1.076
Pr 3.816 2.786 5.464
Pr 4.582 5.722 2.194
Th 3.257 0.000 0.000
Th 2.491 0.000 3.270

(6)
6
Lattice="0.000 3.664 3.664 3.664 0.000 3.664 3.664 3.664 0.000" Properties=species:S:1:pos:R:3 comment="SrFe4Ag PBE relaxed" magmom_total_mub_per_fu=10.5 final_energy_ev_per_atom=-5.9947 space_group="No. 216" formation_enthalpy_0k_ev_per_atom=0.403 dos_ef_per_ev_fu=6.454 pbc="T T T"
Sr 0.000 0.000 0.000
Fe 2.748 2.748 2.748
Fe 4.580 4.580 2.748
Fe 4.580 2.748 4.580
Fe 2.748 4.580 4.580
Ag 5.496 5.496 5.496

(7)
10
Lattice="-4.252 4.252 6.004 4.252 -4.252 6.004 4.252 4.252 -6.004" Properties=species:S:1:pos:R:3 comment="Cs2GaAsI6 PBE relaxed" magmom_total_mub_per_fu=0.0 final_energy_ev_per_atom=-2.6617 space_group="No. 139" raw_formation_energy_ev_per_atom=-0.793 dos_ef_per_ev_fu=0.000 pbc="T T T"
Cs 4.252 0.000 3.002
Cs 0.000 4.252 3.002
Ga 0.000 0.000 0.000
As 0.000 0.000 6.004
I 0.000 0.000 3.095
I 2.198 2.198 0.000
I 2.055 -2.055 6.004
I -2.055 2.055 6.004
I 0.000 0.000 8.912
I 2.055 2.055 6.004

(8)
5
Lattice="5.233 0.000 0.000 0.000 5.233 0.000 0.000 0.000 5.365" Properties=species:S:1:pos:R:3 comment="AgSeBr2Cl PBE relaxed" magmom_total_mub_per_fu=2.7 polymorph_energy_mev_per_atom=0 final_energy_ev_per_atom=-1.8897 space_group="No. 123" raw_formation_energy_ev_per_atom=0.416 dos_ef_per_ev_fu=6.055 pbc="T T T"
Ag 0.000 0.000 0.000
Se 0.000 0.000 2.682
Br 0.000 2.616 0.000
Br 2.616 0.000 0.000
Cl 2.616 2.616 2.682

(9)
5
Lattice="-1.904 1.904 15.837 1.904 -1.904 15.837 1.904 1.904 -15.837" Properties=species:S:1:pos:R:3 comment="Cs2BaTa2 PBE relaxed" magmom_total_mub_per_fu=0.9 final_energy_ev_per_atom=-4.4448 space_group="No. 139" formation_enthalpy_0k_ev_per_atom=1.022 dos_ef_per_ev_fu=5.736 pbc="T T T"
Cs 0.000 0.000 4.329
Cs 0.000 0.000 27.346
Ba 0.000 0.000 15.837
Ta 1.904 0.000 7.919
Ta 0.000 1.904 7.919

(10)
8
Lattice="-1.850 5.078 6.138 1.850 -5.078 6.138 1.850 5.078 -6.138" Properties=species:S:1:pos:R:3 comment="TbHo5Hg2 PBE relaxed" magmom_total_mub_per_fu=0.0 final_energy_ev_per_atom=-3.6758 space_group="No. 71" formation_enthalpy_0k_ev_per_atom=-0.160 dos_ef_per_ev_fu=7.441 pbc="T T T"
Tb 0.000 0.000 0.000
Ho 1.850 2.793 -1.676
Ho 1.850 2.793 1.676
Ho 0.000 5.078 0.000
Ho 0.000 2.285 4.463
Ho 0.000 2.285 7.814
Hg 1.850 0.000 2.902
Hg 0.000 5.078 3.237

(11)
16
Lattice="2.282 -5.351 0.000 2.282 5.351 0.000 0.000 0.000 15.900" Properties=species:S:1:pos:R:3 comment="La3Cu2Ag3 PBE relaxed" magmom_total_mub_per_fu=0.0 final_energy_ev_per_atom=-4.1730 space_group="No. 63" formation_enthalpy_0k_ev_per_atom=-0.232 dos_ef_per_ev_fu=6.062 pbc="T T T"
La 2.282 4.418 9.547
La 2.282 4.418 14.304
La 2.282 1.495 11.925
La 2.282 -1.495 3.975
La 2.282 -4.418 1.596
La 2.282 -4.418 6.354
Cu 2.282 3.129 1.707
Cu 2.282 3.129 6.243
Cu 2.282 -3.129 9.657
Cu 2.282 -3.129 14.193
Ag 2.282 1.623 3.975
Ag 2.282 1.310 8.601
Ag 2.282 1.310 15.249
Ag 2.282 -1.310 0.651
Ag 2.282 -1.310 7.299
Ag 2.282 -1.623 11.925

(12)
4
Lattice="2.912 0.000 0.000 0.000 4.385 0.000 0.000 0.000 4.424" Properties=species:S:1:pos:R:3 comment="AlRuRh2 PBE relaxed" magmom_total_mub_per_fu=0.0 final_energy_ev_per_atom=-7.1705 space_group="No. 47" formation_enthalpy_0k_ev_per_atom=-0.240 dos_ef_per_ev_fu=5.161 pbc="T T T"
Al 0.000 0.000 0.000
Ru 1.456 0.000 2.212
Rh 0.000 2.192 2.212
Rh 1.456 2.192 0.000